Entry 1:
First-principles (PBE) data for a relaxed structure of Li2In2Rh4C, as listed in the Alexandria database.

Cell: 5.644 5.644 5.644 Å, 92.35 118.65 118.65°
Element x y z (fractional)
In1 0.500 0.750 0.250
In2 0.500 0.250 0.750
C1 0.000 0.000 0.000
Rh1 0.000 0.245 0.755
Rh2 0.000 0.755 0.245
Rh3 0.489 0.245 0.245
Li1 0.000 0.725 0.725
Rh4 0.511 0.755 0.755
Li2 0.000 0.275 0.275

- Theoretical density: 8.55 Mg/m³
- Energy of formation from the pure elements: -0.31 eV per atom
- Space-group type: I4/mmm

Entry 2:
First-principles (PBE) data for a relaxed structure of LiInRh2C, as listed in the Alexandria database.

Cell: 4.044 4.044 4.205 Å, 90.00 90.00 90.00°
Element x y z (fractional)
Rh1 0.500 0.000 0.000
C1 0.000 0.000 0.000
Rh2 0.000 0.500 0.000
In1 0.500 0.500 0.500
Li1 0.000 0.000 0.500

- Theoretical density: 8.20 Mg/m³
- Energy of formation from the pure elements: -0.16 eV per atom
- Space-group type: P4/mmm

Entry 3:
First-principles (PBE) data for a relaxed structure of LiInRu2C, as listed in the Alexandria database.

Cell: 4.047 4.047 4.137 Å, 90.00 90.00 90.00°
Element x y z (fractional)
C1 0.000 0.000 0.000
Ru1 0.000 0.500 0.000
Li1 0.000 0.000 0.500
Ru2 0.500 0.000 0.000
In1 0.500 0.500 0.500

- Theoretical density: 8.23 Mg/m³
- Energy of formation from the pure elements: -0.03 eV per atom
- Space-group type: P4/mmm

Entry 4:
First-principles (PBE) data for a relaxed structure of LiInTc2C, as listed in the Alexandria database.

Cell: 4.075 4.075 4.225 Å, 90.00 90.00 90.00°
Element x y z (fractional)
Tc1 0.500 0.000 0.000
C1 0.000 0.000 0.000
In1 0.500 0.500 0.500
Li1 0.000 0.000 0.500
Tc2 0.000 0.500 0.000

- Theoretical density: 7.81 Mg/m³
- Energy of formation from the pure elements: 0.09 eV per atom
- Space-group type: P4/mmm

Entry 5:
First-principles (PBE) data for a relaxed structure of LiVIn2C, as listed in the Alexandria database.

Cell: 4.809 3.983 4.809 Å, 90.00 90.00 90.00°
Element x y z (fractional)
In1 0.000 0.000 0.500
V1 0.000 0.500 0.000
In2 0.500 0.000 0.000
C1 0.000 0.000 0.000
Li1 0.500 0.500 0.500

- Theoretical density: 5.40 Mg/m³
- Energy of formation from the pure elements: 0.49 eV per atom
- Space-group type: P4/mmm

Entry 6:
First-principles (PBE) data for a relaxed structure of LiZr2InC, as listed in the Alexandria database.

Cell: 4.562 4.562 4.282 Å, 90.00 90.00 90.00°
Element x y z (fractional)
In1 0.500 0.500 0.500
Zr1 0.500 0.000 0.000
Zr2 0.000 0.500 0.000
Li1 0.000 0.000 0.500
C1 0.000 0.000 0.000

- Excess energy over the best structure of this formula in the dataset: 0.00 kJ/mol of atoms
- Theoretical density: 5.89 Mg/m³
- Energy of formation from the pure elements: -0.31 eV per atom
- Space-group type: P4/mmm